# NaZrTl2

Crystalline NaZrTl2 at its relaxed geometry (PBE-GGA, Alexandria via LeMat-Bulk).

The calculation puts the volume at 99 Å³ per cell. The electronic total energy comes out at -3.667 eV per atom. The crystal system is tetragonal. The value obtained for the size of the total moment is 0.0 μB per cell.

The space group is P4/mmm (No. 123) and the conventional cell measures 3.404, 3.404 and 8.538 Å, with angles of 90.00, 90.00 and 90.00 degrees. The distinct sites, in fractional coordinates, are Na at (0.000, 0.000, 0.000), Zr at (0.000, 0.000, 0.500) and Tl at (0.500, 0.500, 0.259).

# NaZrTl

Crystalline NaZrTl at its relaxed geometry (PBE-GGA, Alexandria via LeMat-Bulk).

The calculation puts the volume at 152 Å³ per cell. The electronic total energy comes out at -4.000 eV per atom. The crystal system is monoclinic. The value obtained for the size of the total moment is 0.0 μB per cell.

The space group is Pm (No. 6) and the conventional cell measures 5.343, 3.338 and 8.943 Å, with angles of 90.00, 107.34 and 90.00 degrees. The distinct sites, in fractional coordinates, are Na at (0.000, 0.000, 0.000), Na at (0.489, 0.500, 0.977), Zr at (0.561, 0.000, 0.345), Zr at (0.706, 0.500, 0.633), Tl at (0.048, 0.500, 0.322) and Tl at (0.216, 0.000, 0.655).

# NaZrTl

Crystalline NaZrTl at its relaxed geometry (PBE-GGA, Alexandria via LeMat-Bulk).

The calculation puts the volume at 304 Å³ per cell. The electronic total energy comes out at -3.978 eV per atom. The crystal system is monoclinic. The value obtained for the size of the total moment is 0.0 μB per cell.

The space group is C2/m (No. 12) and the conventional cell measures 12.924, 3.283 and 7.688 Å, with angles of 90.00, 111.39 and 90.00 degrees. The distinct sites, in fractional coordinates, are Na at (0.166, 0.000, 0.329), Zr at (0.157, 0.000, 0.859), Tl at (0.000, 0.500, 0.000) and Tl at (0.000, 0.500, 0.500).

# NaZr3Tl

Crystalline NaZr3Tl at its relaxed geometry (PBE-GGA, Alexandria via LeMat-Bulk).

The calculation puts the volume at 127 Å³ per cell. The electronic total energy comes out at -4.604 eV per atom. The crystal system is cubic. The value obtained for the size of the total moment is 0.0 μB per cell.

The space group is Pm-3m (No. 221) and the conventional cell measures 5.020, 5.020 and 5.020 Å, with angles of 90.00, 90.00 and 90.00 degrees. The distinct sites, in fractional coordinates, are Na at (0.000, 0.000, 0.000), Zr at (0.000, 0.000, 0.500) and Tl at (0.500, 0.500, 0.500).

# NaZrTl

Crystalline NaZrTl at its relaxed geometry (PBE-GGA, Alexandria via LeMat-Bulk).

The calculation puts the volume at 159 Å³ per cell. The electronic total energy comes out at -4.090 eV per atom. The crystal system is orthorhombic. The value obtained for the size of the total moment is 0.0 μB per cell.

The space group is Pmmn (No. 59, origin choice 2) and the conventional cell measures 3.353, 4.108 and 11.519 Å, with angles of 90.00, 90.00 and 90.00 degrees. The distinct sites, in fractional coordinates, are Na at (0.250, 0.250, 0.111), Zr at (0.250, 0.250, 0.428) and Tl at (0.250, 0.250, 0.720).

# NaZrTl

Crystalline NaZrTl at its relaxed geometry (PBE-GGA, Alexandria via LeMat-Bulk).

The calculation puts the volume at 148 Å³ per cell. The electronic total energy comes out at -3.602 eV per atom. The crystal system is hexagonal. The value obtained for the size of the total moment is 0.0 μB per cell.

The space group is P6_3/mmc (No. 194) and the conventional cell measures 5.1204, 5.1204 and 6.5238 Å, with angles of 90.00, 90.00 and 120.00 degrees. The distinct sites, in fractional coordinates, are Na at (0.3333, 0.6667, 0.2500), Zr at (0.3333, 0.6667, 0.7500) and Tl at (0.0000, 0.0000, 0.0000).

# NaZrTl

Crystalline NaZrTl at its relaxed geometry (PBE-GGA, Alexandria via LeMat-Bulk).

The calculation puts the volume at 150 Å³ per cell. The electronic total energy comes out at -4.025 eV per atom. The crystal system is triclinic. The value obtained for the size of the total moment is 0.0 μB per cell.

The space group is P-1 (No. 2) and the conventional cell measures 3.218, 5.439 and 9.160 Å, with angles of 79.55, 80.48 and 73.60 degrees. The distinct sites, in fractional coordinates, are Na at (0.158, 0.264, 0.422), Zr at (0.174, 0.731, 0.926) and Tl at (0.499, 0.767, 0.234).

# NaZrTl

Crystalline NaZrTl at its relaxed geometry (PBE-GGA, Alexandria via LeMat-Bulk).

The calculation puts the volume at 320 Å³ per cell. The electronic total energy comes out at -4.082 eV per atom. The crystal system is monoclinic. The value obtained for the size of the total moment is 0.0 μB per cell.

The space group is C2/m (No. 12) and the conventional cell measures 5.862, 3.390 and 16.212 Å, with angles of 90.00, 96.76 and 90.00 degrees. The distinct sites, in fractional coordinates, are Na at (0.202, 0.000, 0.097), Zr at (0.191, 0.500, 0.574) and Tl at (0.078, 0.000, 0.735).

# NaZrTl

Crystalline NaZrTl at its relaxed geometry (PBE-GGA, Alexandria via LeMat-Bulk).

The calculation puts the volume at 152 Å³ per cell. The electronic total energy comes out at -3.998 eV per atom. The crystal system is monoclinic. The value obtained for the size of the total moment is 0.0 μB per cell.

The space group is P2_1/m (No. 11) and the conventional cell measures 5.313, 3.368 and 8.659 Å, with angles of 90.00, 101.42 and 90.00 degrees. The distinct sites, in fractional coordinates, are Na at (0.247, 0.250, 0.487), Zr at (0.458, 0.750, 0.856) and Tl at (0.047, 0.750, 0.166).

# NaZrTl2

Crystalline NaZrTl2 at its relaxed geometry (PBE-GGA, Alexandria via LeMat-Bulk).

The calculation puts the volume at 97 Å³ per cell. The electronic total energy comes out at -3.690 eV per atom. The crystal system is tetragonal. The value obtained for the size of the total moment is 0.0 μB per cell.

The space group is P4/mmm (No. 123) and the conventional cell measures 5.475, 5.475 and 3.244 Å, with angles of 90.00, 90.00 and 90.00 degrees. The distinct sites, in fractional coordinates, are Na at (0.000, 0.000, 0.000), Zr at (0.500, 0.500, 0.000) and Tl at (0.000, 0.500, 0.500).

# NaZrTl

Crystalline NaZrTl at its relaxed geometry (PBE-GGA, Alexandria via LeMat-Bulk).

The calculation puts the volume at 306 Å³ per cell. The electronic total energy comes out at -4.011 eV per atom. The crystal system is orthorhombic. The value obtained for the size of the total moment is 0.0 μB per cell.

The space group is Pnma (No. 62) and the conventional cell measures 8.740, 3.175 and 11.030 Å, with angles of 90.00, 90.00 and 90.00 degrees. The distinct sites, in fractional coordinates, are Na at (0.160, 0.250, 0.083), Zr at (0.063, 0.250, 0.393) and Tl at (0.149, 0.250, 0.791).

# NaZrTl

Crystalline NaZrTl at its relaxed geometry (PBE-GGA, Alexandria via LeMat-Bulk).

The calculation puts the volume at 146 Å³ per cell. The electronic total energy comes out at -4.012 eV per atom. The crystal system is monoclinic. The value obtained for the size of the total moment is 0.0 μB per cell.

The space group is P2_1/m (No. 11) and the conventional cell measures 3.252, 5.090 and 8.925 Å, with angles of 90.00, 98.16 and 90.00 degrees. The distinct sites, in fractional coordinates, are Na at (0.242, 0.250, 0.452), Zr at (0.376, 0.750, 0.894) and Tl at (0.112, 0.750, 0.213).